Below is a relaxed P3Ru crystal, with properties calculated at the PBE level.

Cell: 4.2584 4.2584 4.2584 Å, 60.00 60.00 60.00°
Closest atoms and distances in Å follow each position.
Fractional positions:
1 Ru 0.2500 0.2500 0.2500  8 P 2.61
2 P 0.7500 0.7500 0.7500  8 P 2.61
3 P 0.5000 0.5000 0.5000  4 P 2.61, 4 Ru 2.61
4 P 0.0000 0.0000 0.0000  4 Ru 2.61, 4 P 2.61

Calculated values
Excess energy over the best structure of this formula in the dataset ... 938 meV/atom
ρ ... 5.90 Mg/m³